No. 1
Compound: KHoAgI6
Source: Alexandria
Functional: PBE
Structure: relaxed

```
KHoAgI6
1.0
7.579 0.396 -0.214
4.124 7.143 -0.413
-0.211 -0.368 7.828
K Ho Ag I
1 1 1 6
Cartesian
7.219 0.128 7.590 K
7.551 4.923 3.478 Ho
3.781 2.269 3.751 Ag
1.618 2.640 1.921 I
6.769 6.980 5.439 I
6.256 2.665 5.108 I
2.414 4.045 5.504 I
5.372 4.625 1.539 I
8.899 7.179 1.888 I
```

Values from the calculation:
* DFT total energy: -2.924 eV per atom
* space group: P1, No. 1
* density: 4.3 Mg/m³



No. 2
Compound: KHoAgI5
Source: Alexandria
Functional: PBE
Structure: relaxed

```
KHoAgI5
1.0
-3.123 -6.306 4.659
8.315 0.404 1.383
-3.903 9.273 5.365
K Ho Ag I
2 2 2 10
Cartesian
3.221 0.306 3.903 K
-1.932 3.065 7.503 K
-1.952 4.636 2.682 Ho
0.000 0.000 0.000 Ho
-0.557 -1.910 4.986 Ag
1.846 5.281 6.421 Ag
6.397 2.169 2.994 I
-5.107 1.202 8.412 I
-0.645 -4.716 5.333 I
1.934 8.087 6.074 I
-3.040 -0.612 5.375 I
4.329 3.983 6.031 I
1.095 -0.382 6.783 I
0.195 3.752 4.623 I
0.643 -1.766 2.371 I
0.647 5.137 9.035 I
```

Values from the calculation:
* DFT total energy: -3.139 eV per atom
* space group: C2/c, No. 15
* density: 4.4 Mg/m³



No. 3
Compound: K2HoAgI6
Source: Alexandria
Functional: PBE
Structure: relaxed

```
K2HoAgI6
1.0
-0.489 -7.174 3.897
-3.105 -3.675 -7.155
10.724 -2.567 -3.335
K Ho Ag I
4 2 2 12
Cartesian
-0.159 -4.211 -7.256 K
5.971 -7.882 -4.640 K
7.288 -9.206 0.663 K
1.158 -5.534 -1.953 K
5.117 -4.871 0.281 Ho
-1.552 -1.838 -3.578 Ho
-0.245 -3.587 1.949 Ag
3.809 -3.121 -5.245 Ag
-1.728 -4.843 -3.925 I
3.012 -10.159 -4.512 I
8.857 -8.574 -2.667 I
4.117 -3.257 -2.081 I
2.497 -5.995 -5.294 I
7.313 -11.221 -5.705 I
4.632 -7.422 -1.298 I
-0.184 -2.195 -0.887 I
0.658 -8.978 -1.082 I
4.839 -8.361 -7.983 I
6.471 -4.439 -5.511 I
2.290 -5.055 1.390 I
```

Values from the calculation:
* DFT total energy: -3.071 eV per atom
* space group: P2_1/c, No. 14
* density: 4.5 Mg/m³



No. 4
Compound: Li2HoAgI6
Source: Alexandria
Functional: PBE
Structure: relaxed

```
Li2HoAgI6
1.0
-7.533 0.469 -0.822
-3.064 0.061 -6.946
-3.989 -6.936 -2.447
Li Ho Ag I
2 1 1 6
Cartesian
-7.259 -2.665 -5.120 Li
-3.986 -6.907 -2.448 Li
-3.534 0.148 -2.589 Ho
-10.944 -4.859 -7.659 Ag
-6.176 -1.222 -2.792 I
-5.624 -1.344 -7.182 I
-9.695 -1.048 -5.469 I
-8.181 -4.800 -7.310 I
-8.936 -4.673 -3.279 I
-5.073 -4.947 -4.635 I
```

Values from the calculation:
* DFT total energy: -3.112 eV per atom
* space group: R3, No. 146
* density: 4.9 Mg/m³



Among the records above, which one has the lowest DFT total energy?
KHoAgI5



Which value of DFT total energy does entry 4 give?
-3.112 eV per atom



Number 4 is which compound?
Li2HoAgI6



The lowest DFT total energy belongs to which entry?
KHoAgI5